[1]
Entry from Alexandria via LeMat-Bulk: an optimized crystal structure of BWBr2 (GGA-PBE).

Cell and atoms, written as CIF:
```
data_BWBr2
_chemical_formula_sum 'B1 W1 Br2'
_symmetry_space_group_name_H-M 'P 1'
_symmetry_Int_Tables_number 1
_symmetry_space_group_name_Hall 'P 1'
_cell_length_a 4.508
_cell_length_b 4.508
_cell_length_c 4.508
_cell_angle_alpha 60.00
_cell_angle_beta 60.00
_cell_angle_gamma 60.00
loop_
_atom_site_label
_atom_site_type_symbol
_atom_site_fract_x
_atom_site_fract_y
_atom_site_fract_z
B1 B 0.000 0.000 0.000
Br1 Br 0.250 0.250 0.250
Br2 Br 0.750 0.750 0.750
W1 W 0.500 0.500 0.500
```

* crystal system: cubic
* total energy: -16.30 eV per cell
* DOS(E_F): 3.1 states/eV per cell
* formation energy (no corrections): 1.67 eV per atom
* magnetization: 0.0 μB per formula unit
* polymorph energy (0 for the lowest one): 849 meV/atom

---

[2]
Entry from Alexandria via LeMat-Bulk: an optimized crystal structure of Tm5Tl5H2 (GGA-PBE).

Cell and atoms, written as CIF:
```
data_Tm5Tl5H2
_chemical_formula_sum 'Tm5 Tl5 H2'
_symmetry_space_group_name_H-M 'P 1'
_symmetry_Int_Tables_number 1
_symmetry_space_group_name_Hall 'P 1'
_cell_length_a 4.499
_cell_length_b 6.172
_cell_length_c 10.807
_cell_angle_alpha 98.23
_cell_angle_beta 90.00
_cell_angle_gamma 111.38
loop_
_atom_site_label
_atom_site_type_symbol
_atom_site_fract_x
_atom_site_fract_y
_atom_site_fract_z
Tm1 Tm 0.072 0.145 0.318
Tm2 Tm 0.658 0.316 0.825
Tm3 Tm 0.342 0.684 0.175
Tm4 Tm 0.928 0.855 0.682
Tm5 Tm 0.000 0.000 0.000
Tl1 Tl 0.500 0.000 0.500
Tl2 Tl 0.640 0.281 0.133
Tl3 Tl 0.790 0.579 0.401
Tl4 Tl 0.210 0.421 0.599
Tl5 Tl 0.360 0.719 0.867
H1 H 0.083 0.166 0.828
H2 H 0.917 0.834 0.172
```

* crystal system: monoclinic
* total energy: -44.62 eV per cell
* DOS(E_F): 6.0 states/eV per cell
* magnetization: 0.0 μB per formula unit

---

[3]
Entry from Alexandria via LeMat-Bulk: an optimized crystal structure of HgSbI2 (GGA-PBE).

Cell and atoms, written as CIF:
```
data_HgSbI2
_chemical_formula_sum 'Hg1 Sb1 I2'
_symmetry_space_group_name_H-M 'P 1'
_symmetry_Int_Tables_number 1
_symmetry_space_group_name_Hall 'P 1'
_cell_length_a 5.633
_cell_length_b 5.633
_cell_length_c 5.633
_cell_angle_alpha 60.00
_cell_angle_beta 60.00
_cell_angle_gamma 60.00
loop_
_atom_site_label
_atom_site_type_symbol
_atom_site_fract_x
_atom_site_fract_y
_atom_site_fract_z
I1 I 0.250 0.250 0.250
I2 I 0.750 0.750 0.750
Sb1 Sb 0.000 0.000 0.000
Hg1 Hg 0.500 0.500 0.500
```

* crystal system: cubic
* total energy: -6.61 eV per cell
* DOS(E_F): 3.2 states/eV per cell
* formation energy (no corrections): 0.23 eV per atom
* magnetization: 0.0 μB per formula unit
* polymorph energy (0 for the lowest one): 424 meV/atom

---

[4]
Entry from Alexandria via LeMat-Bulk: an optimized crystal structure of TbPm3N4 (GGA-PBE).

Cell and atoms, written as CIF:
```
data_TbPm3N4
_chemical_formula_sum 'Tb1 Pm3 N4'
_symmetry_space_group_name_H-M 'P 1'
_symmetry_Int_Tables_number 1
_symmetry_space_group_name_Hall 'P 1'
_cell_length_a 5.073
_cell_length_b 5.073
_cell_length_c 6.212
_cell_angle_alpha 114.10
_cell_angle_beta 114.10
_cell_angle_gamma 90.00
loop_
_atom_site_label
_atom_site_type_symbol
_atom_site_fract_x
_atom_site_fract_y
_atom_site_fract_z
N1 N 0.000 0.500 0.000
N2 N 0.500 0.000 0.000
N3 N 0.246 0.246 0.491
N4 N 0.754 0.754 0.509
Tb1 Tb 0.000 0.000 0.000
Pm1 Pm 0.500 0.500 0.000
Pm2 Pm 0.750 0.250 0.500
Pm3 Pm 0.250 0.750 0.500
```

* crystal system: tetragonal
* total energy: -64.05 eV per cell
* DOS(E_F): 1.0 states/eV per cell
* formation energy (no corrections): -1.48 eV per atom
* magnetization: 0.0 μB per formula unit
* polymorph energy (0 for the lowest one): 0 meV/atom

---

> Number 4 is which compound?

TbPm3N4